(1)
Material: ZnNi2Se
Method: DFT, PBE-GGA
State: optimized geometry

```
data_ZnNi2Se
_chemical_formula_sum 'Zn2 Ni4 Se2'
_cell_length_a 2.8578
_cell_length_b 3.8187
_cell_length_c 10.4951
_cell_angle_alpha 90.00
_cell_angle_beta 90.00
_cell_angle_gamma 90.00
_space_group_name_H-M_alt 'I m m 2'
_space_group_IT_number 44
loop_
_space_group_symop_operation_xyz
'x,y,z'
'-x,-y,z'
'-x,y,z'
'x,-y,z'
'x+1/2,y+1/2,z+1/2'
'-x+1/2,-y+1/2,z+1/2'
'-x+1/2,y+1/2,z+1/2'
'x+1/2,-y+1/2,z+1/2'
loop_
_atom_site_label
_atom_site_fract_x
_atom_site_fract_y
_atom_site_fract_z
_atom_site_occupancy
Zn1 0.0000 0.0000 0.0000 1
Ni1 0.0000 0.0000 0.5608 1
Ni2 0.0000 0.5000 0.8441 1
Se1 0.0000 0.5000 0.2453 1
```

The energy above the most stable polymorph in this dataset is 38 meV per atom. The value obtained for the energy relative to the elements, uncorrected is -2.7 kJ/mol of atoms. The value obtained for the total energy is -32.868 eV per cell.

=====

(2)
Material: PuTl2Cu2Br6
Method: DFT, PBE-GGA
State: optimized geometry

```
data_PuTl2Cu2Br6
_chemical_formula_sum 'Pu2 Tl4 Cu4 Br12'
_cell_length_a 13.7626
_cell_length_b 7.9735
_cell_length_c 8.4240
_cell_angle_alpha 90.00
_cell_angle_beta 126.72
_cell_angle_gamma 90.00
_space_group_name_H-M_alt 'C 1 2/m 1'
_space_group_IT_number 12
loop_
_space_group_symop_operation_xyz
'x,y,z'
'-x,-y,-z'
'-x,y,-z'
'x,-y,z'
'x+1/2,y+1/2,z'
'-x+1/2,-y+1/2,-z'
'-x+1/2,y+1/2,-z'
'x+1/2,-y+1/2,z'
loop_
_atom_site_label
_atom_site_fract_x
_atom_site_fract_y
_atom_site_fract_z
_atom_site_occupancy
Pu1 0.0000 0.0000 0.0000 1
Tl1 0.2315 0.5000 0.2518 1
Cu1 0.0541 0.5000 0.7998 1
Br1 0.0614 0.2454 0.3111 1
Br2 0.2460 0.5000 0.8509 1
```

The value obtained for the energy relative to the elements, uncorrected is -72.0 kJ/mol of atoms. The value obtained for the total energy is -90.995 eV per cell.

=====

(3)
Material: MnSe
Method: DFT, PBE-GGA
State: optimized geometry

```
data_MnSe
_chemical_formula_sum 'Mn6 Se6'
_cell_length_a 3.6570
_cell_length_b 3.6570
_cell_length_c 21.2474
_cell_angle_alpha 90.00
_cell_angle_beta 90.00
_cell_angle_gamma 120.00
_space_group_name_H-M_alt 'R -3 m'
_space_group_IT_number 166
_space_group_name_Hall '-R 3 2"'
loop_
_atom_site_label
_atom_site_fract_x
_atom_site_fract_y
_atom_site_fract_z
_atom_site_occupancy
Mn1 0.0000 0.0000 0.1409 1
Se1 0.0000 0.0000 0.2482 1
```

The value obtained for the energy relative to the elements, uncorrected is -18.5 kJ/mol of atoms. The value obtained for the total energy is -78.222 eV per cell.

=====

(4)
Material: ErSnS4
Method: DFT, PBE-GGA
State: optimized geometry

```
data_ErSnS4
_chemical_formula_sum 'Er2 Sn2 S8'
_cell_length_a 6.3020
_cell_length_b 6.6369
_cell_length_c 6.4968
_cell_angle_alpha 90.00
_cell_angle_beta 91.04
_cell_angle_gamma 90.00
_space_group_name_H-M_alt 'P 1 21/c 1'
_space_group_IT_number 14
loop_
_space_group_symop_operation_xyz
'x,y,z'
'-x,-y,-z'
'-x,y+1/2,-z+1/2'
'x,-y+1/2,z+1/2'
loop_
_atom_site_label
_atom_site_fract_x
_atom_site_fract_y
_atom_site_fract_z
_atom_site_occupancy
Er1 0.0000 0.0000 0.0000 1
Sn1 0.5000 0.0000 0.5000 1
S1 0.1320 0.1299 0.3852 1
S2 0.3566 0.6586 0.3274 1
```

The value obtained for the energy relative to the elements, uncorrected is -74.3 kJ/mol of atoms. The value obtained for the total energy is -59.389 eV per cell.

=====

Question: Number 4 is which compound?
Answer: ErSnS4

=====

Question: What is the formula in the second record?
Answer: PuTl2Cu2Br6